(1)
# CrSeBr2 (PBE, optimized geometry)
# - Polymorph energy (0 for the lowest one): 0.305 eV/atom
data_CrSeBr2
_chemical_formula_sum 'Cr2 Se2 Br4'
_cell_length_a 3.2372
_cell_length_b 5.0499
_cell_length_c 14.2036
_cell_angle_alpha 90.00
_cell_angle_beta 90.00
_cell_angle_gamma 90.00
_symmetry_space_group_name_H-M 'I m m m'
_symmetry_Int_Tables_number 71
_symmetry_space_group_name_Hall '-I 2 2'
loop_
_atom_site_label
_atom_site_fract_x
_atom_site_fract_y
_atom_site_fract_z
Cr1 0.0000 0.0000 0.0000
Se1 0.0000 0.0000 0.5000
Br1 0.0000 0.5000 0.3619

(2)
First-principles (PBE) data for a geometry-optimized YErSeN structure, as listed in Alexandria via LeMat-Bulk.

Geometry as CIF:
```
data_YErSeN
_chemical_formula_sum 'Y3 Er3 Se3 N3'
_cell_length_a 3.6540
_cell_length_b 3.6540
_cell_length_c 19.4501
_cell_angle_alpha 90.00
_cell_angle_beta 90.00
_cell_angle_gamma 120.00
_symmetry_space_group_name_H-M 'R 3 m'
_symmetry_Int_Tables_number 160
_symmetry_space_group_name_Hall 'R 3 -2"'
loop_
_atom_site_label
_atom_site_fract_x
_atom_site_fract_y
_atom_site_fract_z
Y1 0.0000 0.0000 0.0000
Er1 0.0000 0.0000 0.4655
Se1 0.0000 0.0000 0.2318
N1 0.0000 0.0000 0.7352
```

Ordered Fermi-level density of states results: 2.19, 1.05; unit states/eV/f.u..
Ordered formation energy from raw total energies results: -108, -1712; unit meV/atom.